Below is an optimized crystal structure of KPa2HO5, with properties calculated at the PBE level.

The symmetry is P4/mmm. Its mass density is 5.92 g/cm3. Its size of the total moment is 0.0 μB per cell. The calculation puts the calculated total energy at -8.208 eV/atom. The density of states at the Fermi level is 0.000 states/eV per atom.

a = 4.297 Å, b = 4.297 Å, c = 8.843 Å
α = 90.00°, β = 90.00°, γ = 90.00°
Sites, in units of the cell vectors:
K  0.500  0.500  0.500
Pa  0.000  0.000  0.253
Pa  0.000  0.000  0.747
H  0.000  0.000  0.000
O  0.000  0.000  0.500
O  0.000  0.500  0.739
O  0.500  0.000  0.261
O  0.000  0.500  0.261
O  0.500  0.000  0.739